Density functional theory data (GGA-PBE) for La2YHo8 after structural relaxation.

## Properties
- relative energy among the computed polymorphs (meV per atom) = 3
- theoretical density (g/cm3) = 7.54
- total magnetic moment (μB per atom) = 0.000
- ΔE_f (meV per atom) = 179

Cell lengths 18.7923, 7.0673, 5.5945 Å; angles 90.00, 92.39, 90.00 degrees
Last column: nearest neighbours and their distance in Å.
Space group C2/m (No. 12)
One atom of each set of equivalent atoms:
La (0.2150, 0.0000, 0.2546) x4  9 Ho 3.21-3.60
Y (0.0000, 0.5000, 0.0000) x2  10 Ho 3.45-3.85
Ho (0.0438, 0.0000, 0.2378) x4  2 Ho 3.07-3.42, 1 La 3.21
Ho (0.1282, 0.2319, 0.7354) x8  5 Ho 3.28-3.63, 1 Y 3.45, 3 La 3.50-3.66
Ho (0.1832, 0.5000, 0.2336) x4  4 La 3.38-3.58, 4 Ho 3.49-3.58, 1 Y 3.63